Entry 1:
# PBE-GGA NaUSb2S6, optimized geometry
data_NaUSb2S6
_chemical_formula_sum 'Na3 U3 Sb6 S18'
_symmetry_space_group_name_H-M 'R 3'
_symmetry_Int_Tables_number 146
_symmetry_space_group_name_Hall 'R 3'
_cell_length_a 7.0790
_cell_length_b 7.0790
_cell_length_c 18.8447
_cell_angle_alpha 90.00
_cell_angle_beta 90.00
_cell_angle_gamma 120.00
loop_
_atom_site_label
_atom_site_fract_x
_atom_site_fract_y
_atom_site_fract_z
_atom_site_occupancy
Na1 0.0000 0.0000 0.0000 1
U1 0.0000 0.0000 0.4842 1
Sb1 0.0000 0.0000 0.3069 1
Sb2 0.0000 0.0000 0.8120 1
S1 0.0003 0.2821 0.3925 1
S2 0.0528 0.7073 0.5550 1
# **Electronic total energy**: -5.295 eV/atom
# **Raw formation energy**: -734 meV per atom
# **Magnetic moment**: 0.10 μB per atom

***

Entry 2:
# PBE-GGA Na2USbS6, optimized geometry
data_Na2USbS6
_chemical_formula_sum 'Na2 U1 Sb1 S6'
_symmetry_space_group_name_H-M 'P 4 m m'
_symmetry_Int_Tables_number 99
_cell_length_a 7.2901
_cell_length_b 7.2901
_cell_length_c 5.1456
_cell_angle_alpha 90.00
_cell_angle_beta 90.00
_cell_angle_gamma 90.00
loop_
_symmetry_equiv_pos_as_xyz
'x,y,z'
'-y,x,z'
'-x,-y,z'
'y,-x,z'
'-x,y,z'
'y,x,z'
'x,-y,z'
'-y,-x,z'
loop_
_atom_site_label
_atom_site_fract_x
_atom_site_fract_y
_atom_site_fract_z
_atom_site_occupancy
Na1 0.0000 0.5000 0.0000 1
U1 0.0000 0.0000 0.6903 1
Sb1 0.5000 0.5000 0.6573 1
S1 0.0000 0.0000 0.1961 1
S2 0.2436 0.2436 0.7045 1
S3 0.5000 0.5000 0.1720 1
# **Electronic total energy**: -5.005 eV/atom
# **Raw formation energy**: -723 meV per atom
# **Magnetic moment**: 0.00 μB per atom

***

Entry 3:
# PBE-GGA Na2USbS4, optimized geometry
data_Na2USbS4
_chemical_formula_sum 'Na2 U1 Sb1 S4'
_symmetry_space_group_name_H-M 'P 1 2/m 1'
_symmetry_Int_Tables_number 10
_cell_length_a 7.0296
_cell_length_b 4.0570
_cell_length_c 7.0385
_cell_angle_alpha 90.00
_cell_angle_beta 109.36
_cell_angle_gamma 90.00
loop_
_symmetry_equiv_pos_as_xyz
'x,y,z'
'-x,-y,-z'
'-x,y,-z'
'x,-y,z'
loop_
_atom_site_label
_atom_site_fract_x
_atom_site_fract_y
_atom_site_fract_z
_atom_site_occupancy
Na1 0.0000 0.0000 0.0000 1
Na2 0.5000 0.5000 0.0000 1
U1 0.0000 0.5000 0.5000 1
Sb1 0.5000 0.0000 0.5000 1
S1 0.2409 0.0000 0.7287 1
S2 0.2552 0.5000 0.2722 1
# **Electronic total energy**: -5.293 eV/atom
# **Raw formation energy**: -973 meV per atom
# **Magnetic moment**: 0.35 μB per atom